No. 1
This record from Alexandria via LeMat-Bulk describes ZrBr3 at its PBEsol-relaxed geometry. The functional is meta-GGA SCAN.

a b c (Å): 6.812 6.812 6.143
angles (deg): 90.00 90.00 120.00
Element x y z (fractional)
Zr  0.000  0.000  0.000
Zr  0.000  0.000  0.500
Br  0.000  0.322  0.250
Br  0.000  0.678  0.750
Br  0.322  0.000  0.250
Br  0.322  0.322  0.750
Br  0.678  0.000  0.750
Br  0.678  0.678  0.250

Calculated values
VASP energy   -23.815 eV per atom
SG   P6_3/mcm, No. 193
Magnetic moment   0.0 μB per cell
ΔE_f (raw)   -1.55 eV per atom


No. 2
This record from Alexandria via LeMat-Bulk describes Ta2SbP at its PBEsol-relaxed geometry. The functional is meta-GGA SCAN.

a b c (Å): 3.372 3.372 6.236
angles (deg): 90.00 90.00 90.00
Element x y z (fractional)
Ta  0.000  0.000  0.000
Ta  0.500  0.500  0.279
Sb  0.500  0.500  0.755
P  0.000  0.000  0.417

Calculated values
VASP energy   -45.601 eV per atom
SG   P4mm, No. 99
Magnetic moment   0.0 μB per cell
ΔE_f (raw)   -0.39 eV per atom


No. 3
This record from Alexandria via LeMat-Bulk describes AgHg2Ir at its PBEsol-relaxed geometry. The functional is meta-GGA SCAN.

a b c (Å): 2.905 2.905 9.519
angles (deg): 90.00 90.00 118.31
Element x y z (fractional)
Ag  0.000  0.000  0.000
Hg  0.500  0.500  0.254
Hg  0.500  0.500  0.746
Ir  0.000  0.000  0.500

Calculated values
VASP energy   -59.289 eV per atom
Energy of formation   0.411 eV/atom
SG   Cmmm, No. 65
Magnetic moment   0.0 μB per cell
Relative energy among the computed polymorphs   0.000 eV per atom


Question: Number 2 is which compound?
Answer: Ta2SbP


Question: Which formula does entry 1 have?
Answer: ZrBr3